SrMnInO4 | GGA+U | optimized geometry

Cell: 5.922 5.900 6.596 Å, 90.00 107.10 90.00°
Sites, in units of the cell vectors:
Sr 0.244 0.250 0.046
Sr 0.756 0.750 0.954
Mn 0.303 0.750 0.343
Mn 0.697 0.250 0.657
In 0.158 0.250 0.530
In 0.842 0.750 0.470
O 0.033 0.521 0.290
O 0.033 0.979 0.290
O 0.467 0.250 0.406
O 0.486 0.250 0.816
O 0.514 0.750 0.184
O 0.533 0.750 0.594
O 0.967 0.021 0.710
O 0.967 0.479 0.710

Properties
Raw total energy: -6.260 eV/atom
Total magnetic moment: 8.0 μB per cell